A relaxed structure of NaSb2S2. Source: Alexandria, functional PBE-GGA.

a b c (Å): 7.6309 7.6309 4.3110
angles (deg): 90.00 90.00 90.00
Sites, in units of the cell vectors:
Sb (0.1955, 0.6955, 0.5000)
Sb (0.6955, 0.8045, 0.5000)
Sb (0.8045, 0.3045, 0.5000)
Sb (0.3045, 0.1955, 0.5000)
S (0.3296, 0.8296, 0.0000)
S (0.8296, 0.6704, 0.0000)
S (0.6704, 0.1704, 0.0000)
S (0.1704, 0.3296, 0.0000)
Na (0.0000, 0.0000, 0.0000)
Na (0.5000, 0.5000, 0.0000)

Crystal system   tetragonal
ΔE to the lowest computed polymorph   0 meV per atom
ΔE_f (raw)   -0.16 eV per atom
Energy   -37.269 eV for the cell shown


A relaxed structure of Na5SbS6. Source: Alexandria, functional PBE-GGA.

a b c (Å): 6.9113 7.0405 7.0543
angles (deg): 60.06 79.70 69.01
Last column: magnetic moment on the atom in μB.
Sites, in units of the cell vectors:
Na (0.5000, 0.1717, 0.6567)  0.00
Na (0.0000, 0.3307, 0.3386)  0.00
Na (0.5000, 0.5000, 0.0000)  0.00
Na (0.0000, 0.6693, 0.6614)  0.00
Na (0.5000, 0.8283, 0.3433)  0.00
Sb (0.0000, 0.0000, 0.0000)  -0.02
S (0.7707, 0.0757, 0.2938)  0.20
S (0.2293, 0.6305, 0.2938)  0.20
S (0.2180, 0.2180, 0.0000)  0.26
S (0.7820, 0.7820, 0.0000)  0.26
S (0.7707, 0.3695, 0.7062)  0.20
S (0.2293, 0.9243, 0.7062)  0.20

Crystal system   monoclinic
ΔE_f (raw)   -0.63 eV per atom
Energy   -43.069 eV for the cell shown


A relaxed structure of NaSbS2. Source: Alexandria, functional PBE-GGA.

a b c (Å): 8.4647 8.4647 8.4647
angles (deg): 27.83 27.83 27.83
Sites, in units of the cell vectors:
Sb (0.5000, 0.5000, 0.5000)
S (0.8942, 0.8942, 0.8942)
S (0.1058, 0.1058, 0.1058)
Na (0.0000, 0.0000, 0.0000)

Crystal system   trigonal
ΔE_f (raw)   -0.42 eV per atom
Energy   -15.383 eV for the cell shown


A relaxed structure of NaSbS2. Source: Alexandria, functional PBE-GGA.

a b c (Å): 5.8717 5.8727 6.9050
angles (deg): 67.05 67.05 91.04
Sites, in units of the cell vectors:
Sb (0.9001, 0.0999, 0.2500)
Sb (0.0999, 0.9001, 0.7500)
S (0.1304, 0.3153, 0.7637)
S (0.6847, 0.8696, 0.7363)
S (0.8696, 0.6847, 0.2363)
S (0.3153, 0.1304, 0.2637)
Na (0.6335, 0.3665, 0.7500)
Na (0.3665, 0.6335, 0.2500)

Crystal system   monoclinic
ΔE_f (raw)   -0.68 eV per atom
Energy   -32.863 eV for the cell shown


A relaxed structure of Na3SbS4. Source: Alexandria, functional PBE-GGA.

a b c (Å): 6.2760 6.2760 6.2760
angles (deg): 109.47 109.47 109.47
Sites, in units of the cell vectors:
Na (0.5000, 0.0000, 0.5000)
Na (0.5000, 0.5000, 0.0000)
Na (0.0000, 0.5000, 0.5000)
Sb (0.0000, 0.0000, 0.0000)
S (0.0000, 0.6227, 0.0000)
S (0.3773, 0.3773, 0.3773)
S (0.0000, 0.0000, 0.6227)
S (0.6227, 0.0000, 0.0000)

Crystal system   cubic
ΔE_f (raw)   -0.76 eV per atom
Energy   -30.678 eV for the cell shown


A relaxed structure of Na2Sb2S. Source: Alexandria, functional PBE-GGA.

a b c (Å): 6.2968 6.2968 5.9798
angles (deg): 58.23 58.23 90.00
Sites, in units of the cell vectors:
Sb (0.3248, 0.3248, 0.3505)
Sb (0.6752, 0.6752, 0.6495)
S (0.0000, 0.0000, 0.0000)
Na (0.7500, 0.2500, 0.5000)
Na (0.2500, 0.7500, 0.5000)

Crystal system   tetragonal
ΔE to the lowest computed polymorph   124 meV per atom
ΔE_f (raw)   -0.07 eV per atom
Energy   -15.360 eV for the cell shown


A relaxed structure of Na3SbS3. Source: Alexandria, functional PBE-GGA.

a b c (Å): 5.7782 8.8588 8.8588
angles (deg): 120.00 90.00 90.00
Sites, in units of the cell vectors:
Na (0.7500, 0.7221, 0.6661)
Na (0.7500, 0.3339, 0.0560)
Na (0.7500, 0.9440, 0.2779)
Na (0.2500, 0.2779, 0.3339)
Na (0.2500, 0.6661, 0.9440)
Na (0.2500, 0.0560, 0.7221)
Sb (0.2500, 0.6667, 0.3333)
Sb (0.7500, 0.3333, 0.6667)
S (0.2500, 0.6926, 0.6329)
S (0.2500, 0.3671, 0.0597)
S (0.2500, 0.9403, 0.3074)
S (0.7500, 0.3074, 0.3671)
S (0.7500, 0.6329, 0.9403)
S (0.7500, 0.0597, 0.6926)

Crystal system   hexagonal
ΔE_f (raw)   -0.62 eV per atom
Energy   -49.607 eV for the cell shown


A relaxed structure of NaSb4S6. Source: Alexandria, functional PBE-GGA.

a b c (Å): 7.5990 5.8598 13.0970
angles (deg): 129.30 133.16 62.31
Sites, in units of the cell vectors:
Na (0.0806, 0.0679, 0.9335)
Sb (0.8095, 0.1966, 0.3025)
Sb (0.5837, 0.6732, 0.8233)
Sb (0.2849, 0.8859, 0.2745)
Sb (0.2137, 0.2218, 0.6881)
S (0.0445, 0.6258, 0.6295)
S (0.5586, 0.1263, 0.6705)
S (0.9085, 0.8840, 0.4028)
S (0.0472, 0.6564, 0.9760)
S (0.3954, 0.4316, 0.2779)
S (0.5735, 0.7308, 0.0212)

Crystal system   triclinic
ΔE_f (raw)   -0.30 eV per atom
Energy   -45.896 eV for the cell shown


A relaxed structure of NaSb3S. Source: Alexandria, functional PBE-GGA.

a b c (Å): 5.3349 5.3349 5.3349
angles (deg): 90.00 90.00 90.00
Last column: magnetic moment on the atom in μB.
Sites, in units of the cell vectors:
Sb (0.0000, 0.5000, 0.0000)  0.05
Sb (0.0000, 0.0000, 0.5000)  0.03
Sb (0.5000, 0.0000, 0.0000)  0.04
S (0.5000, 0.5000, 0.5000)  0.21
Na (0.0000, 0.0000, 0.0000)  0.00

Crystal system   cubic
ΔE to the lowest computed polymorph   808 meV per atom
ΔE_f (raw)   1.08 eV per atom
Energy   -12.438 eV for the cell shown


A relaxed structure of Na2Sb2S5. Source: Alexandria, functional PBE-GGA.

a b c (Å): 5.3751 7.8697 6.6838
angles (deg): 102.04 90.00 109.97
Sites, in units of the cell vectors:
Na (0.3464, 0.6929, 0.6020)
Na (0.6536, 0.3071, 0.3980)
Sb (0.1512, 0.3024, 0.8795)
Sb (0.8488, 0.6976, 0.1205)
S (0.3231, 0.6462, 0.0375)
S (0.6769, 0.3538, 0.9625)
S (0.1436, 0.2873, 0.5238)
S (0.8564, 0.7127, 0.4762)
S (0.0000, 0.0000, 0.0000)

Crystal system   monoclinic
ΔE to the lowest computed polymorph   78 meV per atom
ΔE_f (raw)   -0.43 eV per atom
Energy   -35.397 eV for the cell shown


A relaxed structure of Na3SbS3. Source: Alexandria, functional PBE-GGA.

a b c (Å): 7.1499 7.1499 7.7936
angles (deg): 82.66 82.66 109.97
Sites, in units of the cell vectors:
Na (0.6498, 0.6498, 0.3537)
Na (0.1678, 0.8322, 0.5000)
Na (0.8322, 0.1678, 0.5000)
Na (0.1944, 0.8056, 0.0000)
Na (0.8056, 0.1944, 0.0000)
Na (0.3502, 0.3502, 0.6463)
Sb (0.7026, 0.7026, 0.8672)
Sb (0.2974, 0.2974, 0.1328)
S (0.9914, 0.9914, 0.2391)
S (0.7822, 0.4677, 0.6999)
S (0.4677, 0.7822, 0.6999)
S (0.2178, 0.5323, 0.3001)
S (0.5323, 0.2178, 0.3001)
S (0.0086, 0.0086, 0.7609)

Crystal system   monoclinic
ΔE_f (raw)   -0.83 eV per atom
Energy   -52.475 eV for the cell shown


A relaxed structure of Na4SbS4. Source: Alexandria, functional PBE-GGA.

a b c (Å): 6.7702 6.7702 7.6427
angles (deg): 116.29 116.29 90.00
Last column: magnetic moment on the atom in μB.
Sites, in units of the cell vectors:
Na (0.5000, 0.0000, 0.0000)  0.00
Na (0.0000, 0.5000, 0.0000)  0.00
Na (0.2900, 0.2900, 0.5800)  0.01
Na (0.7100, 0.7100, 0.4200)  0.01
Sb (0.0000, 0.0000, 0.0000)  0.12
S (0.6654, 0.6654, 0.7569)  0.11
S (0.3346, 0.9085, 0.2431)  0.11
S (0.0915, 0.0915, 0.7569)  0.11
S (0.9085, 0.3346, 0.2431)  0.11

Crystal system   tetragonal
ΔE_f (raw)   -0.75 eV per atom
Energy   -32.627 eV for the cell shown


A relaxed structure of Na3SbS. Source: Alexandria, functional PBE-GGA.

a b c (Å): 5.3206 5.3206 5.3206
angles (deg): 90.00 90.00 90.00
Last column: magnetic moment on the atom in μB.
Sites, in units of the cell vectors:
Sb (0.5000, 0.5000, 0.5000)  0.62
S (0.0000, 0.0000, 0.0000)  0.15
Na (0.0000, 0.5000, 0.0000)  0.00
Na (0.0000, 0.0000, 0.5000)  0.00
Na (0.5000, 0.0000, 0.0000)  0.00

Crystal system   cubic
ΔE to the lowest computed polymorph   0 meV per atom
ΔE_f (raw)   -0.43 eV per atom
Energy   -14.354 eV for the cell shown


A relaxed structure of Na8SbS6. Source: Alexandria, functional PBE-GGA.

a b c (Å): 8.4159 7.8245 11.7664
angles (deg): 90.00 90.00 90.00
Sites, in units of the cell vectors:
Na (0.3599, 0.0000, 0.9548)
Na (0.6401, 0.5000, 0.4548)
Na (0.9285, 0.7906, 0.1674)
Na (0.0715, 0.7094, 0.6674)
Na (0.0715, 0.2906, 0.6674)
Na (0.9285, 0.2094, 0.1674)
Na (0.4428, 0.7215, 0.6811)
Na (0.5572, 0.7785, 0.1811)
Na (0.5572, 0.2215, 0.1811)
Na (0.4428, 0.2785, 0.6811)
Na (0.7701, 0.7868, 0.8452)
Na (0.2299, 0.7132, 0.3452)
Na (0.2299, 0.2868, 0.3452)
Na (0.7701, 0.2132, 0.8452)
Na (0.2571, 0.0000, 0.5182)
Na (0.7429, 0.5000, 0.0182)
Sb (0.7534, 0.0000, 0.4759)
Sb (0.2466, 0.5000, 0.9759)
S (0.7171, 0.0000, 0.0275)
S (0.2829, 0.5000, 0.5275)
S (0.2488, 0.0000, 0.7365)
S (0.7512, 0.5000, 0.2365)
S (0.0172, 0.0000, 0.3608)
S (0.9828, 0.5000, 0.8608)
S (0.4888, 0.0000, 0.3644)
S (0.5112, 0.5000, 0.8644)
S (0.2450, 0.7438, 0.1054)
S (0.7550, 0.7562, 0.6054)
S (0.7550, 0.2438, 0.6054)
S (0.2450, 0.2562, 0.1054)

Crystal system   orthorhombic
ΔE_f (raw)   -0.85 eV per atom
Energy   -104.366 eV for the cell shown


A relaxed structure of Na3SbS4. Source: Alexandria, functional PBE-GGA.

a b c (Å): 6.9887 8.8447 7.6650
angles (deg): 90.00 90.00 90.00
Sites, in units of the cell vectors:
Na (0.4855, 0.0000, 0.1474)
Na (0.9933, 0.7586, 0.3209)
Na (0.4933, 0.7414, 0.6791)
Na (0.9855, 0.5000, 0.8526)
Na (0.4933, 0.2586, 0.6791)
Na (0.9933, 0.2414, 0.3209)
S (0.8883, 0.0000, 0.1104)
S (0.3377, 0.0000, 0.8134)
S (0.8930, 0.7795, 0.6745)
S (0.3930, 0.7205, 0.3255)
S (0.8377, 0.5000, 0.1866)
S (0.3883, 0.5000, 0.8896)
S (0.3930, 0.2795, 0.3255)
S (0.8930, 0.2205, 0.6745)
Sb (0.0005, 0.0000, 0.8195)
Sb (0.5005, 0.5000, 0.1805)

Crystal system   orthorhombic
ΔE_f (raw)   -0.77 eV per atom
Energy   -61.430 eV for the cell shown


A relaxed structure of NaSb2S. Source: Alexandria, functional PBE-GGA.

a b c (Å): 9.2972 9.2972 7.1027
angles (deg): 49.12 49.12 90.00
Sites, in units of the cell vectors:
Sb (0.7027, 0.1250, 0.2500)
Sb (0.0473, 0.6250, 0.2500)
Sb (0.3750, 0.2973, 0.7500)
Sb (0.8750, 0.9527, 0.7500)
S (0.0000, 0.0000, 0.0000)
S (0.7500, 0.2500, 0.5000)
Na (0.5000, 0.5000, 0.0000)
Na (0.2500, 0.7500, 0.5000)

Crystal system   tetragonal
ΔE_f (raw)   -0.02 eV per atom
Energy   -27.547 eV for the cell shown


A relaxed structure of Na3Sb2S4. Source: Alexandria, functional PBE-GGA.

a b c (Å): 8.2015 8.5571 9.0599
angles (deg): 118.72 112.77 85.09
Sites, in units of the cell vectors:
Na (0.0558, 0.7351, 0.6842)
Na (0.3917, 0.9501, 0.1500)
Na (0.9442, 0.2649, 0.3158)
Na (0.6083, 0.0499, 0.8500)
Na (0.8041, 0.6267, 0.9741)
Na (0.1959, 0.3733, 0.0259)
Sb (0.6283, 0.5404, 0.4434)
Sb (0.8020, 0.1431, 0.5848)
Sb (0.3717, 0.4596, 0.5566)
Sb (0.1980, 0.8569, 0.4152)
S (0.4454, 0.7573, 0.8229)
S (0.0617, 0.9338, 0.1727)
S (0.5546, 0.2427, 0.1771)
S (0.9383, 0.0662, 0.8273)
S (0.0082, 0.5841, 0.2943)
S (0.5704, 0.2927, 0.7110)
S (0.9918, 0.4159, 0.7057)
S (0.4296, 0.7073, 0.2890)

Crystal system   triclinic
ΔE_f (raw)   -0.69 eV per atom
Energy   -69.861 eV for the cell shown


A relaxed structure of Na2ScSbS4. Source: Alexandria, functional PBE-GGA.

a b c (Å): 7.8895 7.8894 7.7911
angles (deg): 119.58 119.58 90.20
Sites, in units of the cell vectors:
Na (0.5000, 0.0000, 0.0000)
Na (0.5000, 0.0000, 0.5000)
Na (0.0000, 0.0000, 0.5000)
Na (0.5000, 0.5000, 0.0000)
Sc (0.0000, 0.5000, 0.0000)
Sc (0.0000, 0.5000, 0.5000)
Sb (0.5000, 0.5000, 0.5000)
Sb (0.0000, 0.0000, 0.0000)
S (0.2189, 0.7298, 0.9743)
S (0.7702, 0.2811, 0.5257)
S (0.2298, 0.7189, 0.4743)
S (0.7811, 0.2702, 0.0257)
S (0.7654, 0.7353, 0.9934)
S (0.7646, 0.7346, 0.5066)
S (0.2354, 0.2654, 0.4934)
S (0.2346, 0.2647, 0.0066)

Crystal system   orthorhombic
ΔE_f (raw)   -1.19 eV per atom
Energy   -78.229 eV for the cell shown


A relaxed structure of Na3ScSb3S8. Source: Alexandria, functional PBE-GGA.

a b c (Å): 7.7718 7.7761 8.2047
angles (deg): 118.32 90.00 119.98
Sites, in units of the cell vectors:
Na (0.0000, 0.0000, 0.0000)
Na (0.0000, 0.5000, 0.0000)
Na (0.5000, 0.5000, 0.0000)
Sc (0.0000, 0.0000, 0.5000)
Sb (0.5000, 0.0000, 0.5000)
Sb (0.5000, 0.5000, 0.5000)
Sb (0.0000, 0.5000, 0.5000)
S (0.2562, 0.5124, 0.2686)
S (0.7438, 0.4876, 0.7314)
S (0.7687, 0.5374, 0.2858)
S (0.2313, 0.4626, 0.7142)
S (0.7686, 0.0168, 0.2863)
S (0.2314, 0.9832, 0.7137)
S (0.2482, 0.0168, 0.2863)
S (0.7518, 0.9832, 0.7137)

Crystal system   trigonal
ΔE_f (raw)   -0.82 eV per atom
Energy   -67.976 eV for the cell shown


A relaxed structure of Na2Sc2SbS6. Source: Alexandria, functional PBE-GGA.

a b c (Å): 6.5539 6.5539 7.1000
angles (deg): 98.54 98.54 120.27
Sites, in units of the cell vectors:
Na (0.8358, 0.1642, 0.0000)
Na (0.1642, 0.8358, 0.0000)
Sc (0.3326, 0.6674, 0.5000)
Sc (0.6674, 0.3326, 0.5000)
Sb (0.0000, 0.0000, 0.5000)
S (0.7339, 0.7339, 0.7130)
S (0.0673, 0.4058, 0.7124)
S (0.2661, 0.2661, 0.2870)
S (0.4058, 0.0673, 0.7124)
S (0.9327, 0.5942, 0.2876)
S (0.5942, 0.9327, 0.2876)

Crystal system   monoclinic
ΔE_f (raw)   -1.28 eV per atom
Energy   -58.314 eV for the cell shown